[1]
! TbPrEr2Tm5, optimized geometry, DFT PBE; values from VASP
! formation enthalpy at 0 K = 0.168 eV per atom
! E_tot = -4.376 eV/atom
&SYSTEM
  ibrav = 0, nat = 18, ntyp = 4
/
ATOMIC_SPECIES
Tb 158.93 Tb.upf
Pr 140.91 Pr.upf
Er 167.26 Er.upf
Tm 168.93 Tm.upf
CELL_PARAMETERS angstrom
2.778 -9.831 0.000
2.778 9.831 0.000
0.000 0.000 10.474
ATOMIC_POSITIONS crystal
Tb 0.200 0.800 0.500
Tb 0.800 0.200 0.000
Pr 0.417 0.583 0.938
Pr 0.583 0.417 0.438
Er 0.111 0.889 0.222
Er 0.113 0.887 0.807
Er 0.887 0.113 0.307
Er 0.889 0.111 0.722
Tm 0.018 0.982 0.513
Tm 0.281 0.719 0.800
Tm 0.299 0.701 0.198
Tm 0.388 0.612 0.510
Tm 0.478 0.522 0.223
Tm 0.522 0.478 0.723
Tm 0.612 0.388 0.010
Tm 0.701 0.299 0.698
Tm 0.719 0.281 0.300
Tm 0.982 0.018 0.013



[2]
! Nd8AgBi2, optimized geometry, DFT PBE; values from VASP
! formation enthalpy at 0 K = -0.294 eV per atom
! E_tot = -4.726 eV/atom
&SYSTEM
  ibrav = 0, nat = 11, ntyp = 3
/
ATOMIC_SPECIES
Nd 144.24 Nd.upf
Ag 107.87 Ag.upf
Bi 208.98 Bi.upf
CELL_PARAMETERS angstrom
10.168 -2.633 0.000
10.168 2.633 0.000
-1.704 0.000 6.703
ATOMIC_POSITIONS crystal
Nd 0.018 0.018 0.276
Nd 0.219 0.219 0.825
Nd 0.348 0.348 0.482
Nd 0.408 0.408 0.014
Nd 0.592 0.592 0.986
Nd 0.652 0.652 0.518
Nd 0.781 0.781 0.175
Nd 0.982 0.982 0.724
Ag 0.500 0.500 0.500
Bi 0.181 0.181 0.264
Bi 0.819 0.819 0.736



[3]
! KLa2Mo, optimized geometry, DFT PBE; values from VASP
! offset from the most stable computed form = 425 meV per atom
! formation enthalpy at 0 K = 0.780 eV per atom
! E_tot = -4.666 eV/atom
&SYSTEM
  ibrav = 0, nat = 4, ntyp = 3
/
ATOMIC_SPECIES
K 39.10 K.upf
La 138.91 La.upf
Mo 95.94 Mo.upf
CELL_PARAMETERS angstrom
0.000 3.836 3.836
3.836 0.000 3.836
3.836 3.836 0.000
ATOMIC_POSITIONS crystal
K 0.000 0.000 0.000
La 0.250 0.250 0.250
La 0.750 0.750 0.750
Mo 0.500 0.500 0.500



[4]
! Ba2NdThAs4, optimized geometry, DFT PBE; values from VASP
! formation enthalpy at 0 K = -1.229 eV per atom
! E_tot = -5.558 eV/atom
&SYSTEM
  ibrav = 0, nat = 8, ntyp = 4
/
ATOMIC_SPECIES
Ba 137.33 Ba.upf
Nd 144.24 Nd.upf
Th 232.04 Th.upf
As 74.92 As.upf
CELL_PARAMETERS angstrom
7.702 0.000 0.000
0.000 4.441 0.000
-2.569 0.000 7.553
ATOMIC_POSITIONS crystal
Ba 0.000 0.000 0.000
Ba 0.500 0.500 0.000
Nd 0.000 0.500 0.500
Th 0.500 0.000 0.500
As 0.242 0.000 0.715
As 0.266 0.500 0.286
As 0.734 0.500 0.714
As 0.758 0.000 0.285